# Pu6TiGe5

A relaxed Pu6TiGe5 crystal (PBE, the Alexandria database).

It has space group Immm (No. 71), with a = 4.4582 Å, b = 8.3809 Å, c = 13.7296 Å, α = 90.00°, β = 90.00° and γ = 90.00°. Symmetry generates all atoms from Pu at (0.0000, 0.2439, 0.0000), Pu at (0.0000, 0.2533, 0.3284), Ti at (0.0000, 0.0000, 0.5000), Ge at (0.0000, 0.0000, 0.1681), Ge at (0.0000, 0.5000, 0.1470) and Ge at (0.0000, 0.5000, 0.5000).

The value obtained for the density of states at the Fermi level is 78.42 states/eV per cell. As for the formation energy: -0.310 eV per atom. For the total moment, the calculation gives 21.13 μB/cell. The value obtained for the electronic total energy is -10.058 eV/atom.


# PuTiGe2

A relaxed PuTiGe2 crystal (PBE, the Alexandria database).

It has space group P4/mmm (No. 123), with a = 4.3303 Å, b = 4.3303 Å, c = 4.0833 Å, α = 90.00°, β = 90.00° and γ = 90.00°. Symmetry generates all atoms from Pu at (0.0000, 0.0000, 0.0000), Ti at (0.5000, 0.5000, 0.0000) and Ge at (0.0000, 0.5000, 0.5000).

The value obtained for the density of states at the Fermi level is 7.99 states/eV per cell. As for the formation energy: -0.317 eV per atom. For the total moment, the calculation gives 6.57 μB/cell. For the relative energy among the computed polymorphs, the calculation gives 0.55 eV per formula unit. The value obtained for the electronic total energy is -8.182 eV/atom.


# PuTiGe2

A relaxed PuTiGe2 crystal (PBE, the Alexandria database).

It has space group C2/m (No. 12), with a = 6.5915 Å, b = 3.8191 Å, c = 7.0746 Å, α = 90.00°, β = 108.22° and γ = 90.00°. Symmetry generates all atoms from Pu at (0.0000, 0.0000, 0.0000), Ti at (0.0000, 0.5000, 0.5000) and Ge at (0.2382, 0.0000, 0.7145).

The value obtained for the density of states at the Fermi level is 21.26 states/eV per cell. As for the formation energy: -0.333 eV per atom. For the total moment, the calculation gives 9.87 μB/cell. For the relative energy among the computed polymorphs, the calculation gives 0.49 eV per formula unit. The value obtained for the electronic total energy is -8.199 eV/atom.